First-principles (GGA-PBE) data for a relaxed MgCd2Os4 crystal, as listed in Alexandria via LeMat-Bulk.

Output
SG: No. 139
DOS at the Fermi energy, states/eV/cell: 8.6
Formation energy from the elements, eV per atom: 2.1480

Unit cell a=4.4481 b=4.4481 c=7.5517 alpha=72.87 beta=72.87 gamma=90.00
Closest atoms and distances in Å follow each position.
Sites, in units of the cell vectors:
Mg1 0.0000 0.0000 0.0000  6 Os 2.22-2.32
Os1 0.8309 0.8309 0.3383  1 Mg 2.32
Os2 0.1691 0.1691 0.6617  1 Mg 2.32
Os3 0.0000 0.5000 0.0000  2 Mg 2.22
Os4 0.5000 0.0000 0.0000  2 Mg 2.22
Cd1 0.6345 0.6345 0.7311  5 Os 2.70-2.89
Cd2 0.3655 0.3655 0.2689  5 Os 2.70-2.89